The following is a PBEsol calculation of Ca2PdSe after structural relaxation, from the Alexandria database.

Symmetry: Fm-3m (225)
Volume (Å³ per atom): 21.93
Density of states at the Fermi level (states/eV per cell): 0.04
Formation energy (no corrections) (eV/atom): -1.054
Total magnetic moment (μB per atom): 0.00

```
4
Lattice="-0.422 -4.806 -1.263 0.563 -3.547 3.461 -3.945 -2.643 1.527" Properties=species:S:1:pos:R:3 pbc="T T T"
Se 0.000 0.000 0.000
Pd -1.902 -5.498 1.862
Ca -2.853 -8.247 2.794
Ca -0.951 -2.749 0.931
```

=====

The following is a PBEsol calculation of Er7Cu3Te12 after structural relaxation, from the Alexandria database.

Symmetry: Cm (8)
Volume (Å³ per atom): 29.27
Formation energy (no corrections) (eV/atom): -1.073
Total magnetic moment (μB per atom): 0.00

```
22
Lattice="-5.120 3.418 4.062 -2.039 -4.634 -5.363 2.533 -9.963 9.340" Properties=species:S:1:pos:R:3 pbc="T T T"
Er -0.646 -4.162 0.470
Er -0.566 -9.274 4.868
Er -4.673 -8.550 5.777
Er -1.588 -6.604 7.993
Er -4.729 -3.432 1.386
Er -1.670 -1.488 3.600
Er 0.146 -10.312 8.858
Te -1.225 -12.180 4.258
Te -3.271 -6.832 10.516
Te -2.973 -8.412 3.329
Te -4.079 -0.570 2.049
Te -2.275 -9.511 7.382
Te -1.303 -7.089 -0.136
Te 0.094 -6.440 5.533
Te -3.356 -1.724 6.142
Te 0.029 -1.305 1.124
Te -4.001 -5.727 6.472
Te -2.333 -4.421 3.015
Te -3.048 -3.264 -1.103
Cu 0.067 -4.503 3.869
Cu -3.007 -6.471 1.655
Cu -4.036 -3.782 4.802
```

=====

The following is a PBEsol calculation of CaAgW2 after structural relaxation, from the Alexandria database.

Symmetry: Pmmm (47)
Volume (Å³ per atom): 18.06
Density of states at the Fermi level (states/eV per cell): 2.96
Energy relative to the elements (eV per formula unit): 3.540
Total magnetic moment (μB per atom): 0.00

```
4
Lattice="2.663 0.000 0.000 0.000 5.035 0.000 0.000 0.000 5.387" Properties=species:S:1:pos:R:3 pbc="T T T"
W 0.000 0.000 4.006
W 0.000 0.000 1.381
Ca 1.331 2.517 2.694
Ag 1.331 2.517 0.000
```